1.
A geometry-optimized IrRu structure. Source: the Alexandria database, functional GGA-PBEsol.

It has space group Cm (No. 8), with a = 9.798 Å, b = 2.705 Å, c = 6.375 Å, α = 90.00°, β = 103.84° and γ = 90.00°. The asymmetric unit holds Ir at (0.000, 0.000, 0.000), Ir at (0.057, 0.000, 0.613), Ir at (0.171, 0.500, 0.336), Ru at (0.225, 0.500, 0.947), Ru at (0.335, 0.000, 0.669) and Ru at (0.389, 0.000, 0.278).

Its relative energy among the computed polymorphs is 10 meV/atom. For the density of states at the Fermi level, the calculation gives 10.20 states/eV/cell. As for the formation energy: -4 kJ/mol of atoms.



2.
A geometry-optimized Tm2Ni12As7 structure. Source: the Alexandria database, functional GGA-PBEsol.

It has space group P-6 (No. 174), with a = 9.2154 Å, b = 9.2154 Å, c = 3.7601 Å, α = 90.00°, β = 90.00° and γ = 120.00°. The asymmetric unit holds Tm at (0.0000, 0.0000, 0.0000), Tm at (0.3333, 0.6667, 0.5000), Ni at (0.0502, 0.2764, 0.5000), Ni at (0.0921, 0.7101, 0.0000), Ni at (0.4564, 0.2185, 0.0000), Ni at (0.5152, 0.4629, 0.5000), As at (0.0755, 0.4437, 0.0000), As at (0.2632, 0.2142, 0.5000) and As at (0.6667, 0.3333, 0.5000).

For the density of states at the Fermi level, the calculation gives 14.05 states/eV/cell. As for the formation energy: -56 kJ/mol of atoms.



3.
A geometry-optimized Nb2Bi3Pb2ClO11 structure. Source: the Alexandria database, functional GGA-PBEsol.

It has space group P4/mmm (No. 123), with a = 3.898 Å, b = 3.898 Å, c = 19.292 Å, α = 90.00°, β = 90.00° and γ = 90.00°. The asymmetric unit holds Nb at (0.000, 0.000, 0.117), Bi at (0.000, 0.000, 0.402), Bi at (0.500, 0.500, 0.000), Pb at (0.500, 0.500, 0.273), Cl at (0.500, 0.500, 0.500), O at (0.000, 0.000, 0.000), O at (0.000, 0.000, 0.210), O at (0.000, 0.500, 0.094) and O at (0.000, 0.500, 0.345).

The value obtained for the energy relative to the elements, uncorrected is -32.45 eV per formula unit.